AgH2OsAu | PBE-GGA | relaxed

The space group is P4/mmm.

Cell lengths 3.6654, 3.6654, 5.5176 Å; angles 90.00, 90.00, 90.00 degrees
Sites, in units of the cell vectors:
Ag (0.0000, 0.0000, 0.0000)
H (0.0000, 0.5000, 0.0000)
H (0.5000, 0.0000, 0.0000)
Os (0.0000, 0.0000, 0.5000)
Au (0.5000, 0.5000, 0.5000)

***

Hf2GaHg | PBE-GGA | relaxed

As for the energy of formation: 0.12 eV/atom. The space group is I-42d.

Cell lengths 7.6215, 7.6215, 5.9384 Å; angles 90.00, 90.00, 90.00 degrees
Sites, in units of the cell vectors:
Hf (0.2397, 0.2500, 0.1250)
Hf (0.2500, 0.7397, 0.3750)
Hf (0.2500, 0.7603, 0.8750)
Hf (0.2603, 0.2500, 0.6250)
Hf (0.7397, 0.7500, 0.6250)
Hf (0.7500, 0.2397, 0.8750)
Hf (0.7500, 0.2603, 0.3750)
Hf (0.7603, 0.7500, 0.1250)
Ga (0.0000, 0.0000, 0.0000)
Ga (0.0000, 0.5000, 0.2500)
Ga (0.5000, 0.0000, 0.7500)
Ga (0.5000, 0.5000, 0.5000)
Hg (0.0000, 0.0000, 0.5000)
Hg (0.0000, 0.5000, 0.7500)
Hg (0.5000, 0.0000, 0.2500)
Hg (0.5000, 0.5000, 0.0000)

***

LaPRu | PBE-GGA | relaxed

As for the energy of formation: -0.55 eV/atom. The space group is I4mm.

Cell lengths 3.1356, 3.1356, 11.4107 Å; angles 90.00, 90.00, 90.00 degrees
Sites, in units of the cell vectors:
La (0.0000, 0.0000, 0.0000)
La (0.5000, 0.5000, 0.5000)
P (0.0000, 0.0000, 0.7029)
P (0.5000, 0.5000, 0.2029)
Ru (0.0000, 0.0000, 0.2941)
Ru (0.5000, 0.5000, 0.7941)

***

HfH2Pb | PBE-GGA | relaxed

The space group is I4_1/amd.

Cell lengths 4.3420, 4.3420, 12.3773 Å; angles 90.00, 90.00, 90.00 degrees
Sites, in units of the cell vectors:
Hf (0.0000, 0.2500, 0.3750)
Hf (0.0000, 0.7500, 0.6250)
Hf (0.5000, 0.2500, 0.1250)
Hf (0.5000, 0.7500, 0.8750)
H (0.0000, 0.0000, 0.5000)
H (0.0000, 0.5000, 0.5000)
H (0.2500, 0.2500, 0.2500)
H (0.2500, 0.7500, 0.7500)
H (0.5000, 0.0000, 0.0000)
H (0.5000, 0.5000, 0.0000)
H (0.7500, 0.2500, 0.2500)
H (0.7500, 0.7500, 0.7500)
Pb (0.0000, 0.2500, 0.8750)
Pb (0.0000, 0.7500, 0.1250)
Pb (0.5000, 0.2500, 0.6250)
Pb (0.5000, 0.7500, 0.3750)

***

Number 1: Fermi-level density of states 0.7016 states/eV/atom, total energy -18.35 eV/f.u.. Number 2: Fermi-level density of states 0.9011 states/eV/atom, total energy -22.74 eV/f.u.. Number 3: Fermi-level density of states 0.7151 states/eV/atom, total energy -21.26 eV/f.u.. Number 4: Fermi-level density of states 0.1076 states/eV/atom, total energy -20.54 eV/f.u..